# 1
A relaxed structure of RbYbBeF6. Source: Alexandria via LeMat-Bulk, functional GGA-PBE.

CIF file:
```
data_RbYbBeF6
_chemical_formula_sum 'Rb2 Yb2 Be2 F12'
_symmetry_space_group_name_H-M 'P 1 21/m 1'
_symmetry_Int_Tables_number 11
_symmetry_space_group_name_Hall '-P 2yb'
_cell_length_a 6.566
_cell_length_b 5.888
_cell_length_c 7.301
_cell_angle_alpha 90.00
_cell_angle_beta 113.89
_cell_angle_gamma 90.00
loop_
_atom_site_label
_atom_site_type_symbol
_atom_site_fract_x
_atom_site_fract_y
_atom_site_fract_z
_atom_site_occupancy
Rb1 Rb 0.083 0.250 0.215 1
Yb1 Yb 0.392 0.250 0.817 1
Be1 Be 0.230 0.750 0.463 1
F1 F 0.002 0.750 0.274 1
F2 F 0.243 0.535 0.593 1
F3 F 0.324 0.501 0.027 1
F4 F 0.421 0.750 0.390 1
```


# 2
A relaxed structure of LiCrSe2. Source: Alexandria via LeMat-Bulk, functional GGA-PBE.

CIF file:
```
data_LiCrSe2
_chemical_formula_sum 'Li1 Cr1 Se2'
_symmetry_space_group_name_H-M 'P 1 2/m 1'
_symmetry_Int_Tables_number 10
_symmetry_space_group_name_Hall '-P 2y'
_cell_length_a 3.973
_cell_length_b 3.536
_cell_length_c 6.218
_cell_angle_alpha 90.00
_cell_angle_beta 90.11
_cell_angle_gamma 90.00
loop_
_atom_site_label
_atom_site_type_symbol
_atom_site_fract_x
_atom_site_fract_y
_atom_site_fract_z
_atom_site_occupancy
Li1 Li 0.000 0.000 0.000 1
Cr1 Cr 0.500 0.000 0.500 1
Se1 Se 0.313 0.500 0.747 1
```


# 3
A relaxed structure of Rb2UBr5Cl. Source: Alexandria via LeMat-Bulk, functional GGA-PBE.

CIF file:
```
data_Rb2UBr5Cl
_chemical_formula_sum 'Rb4 U2 Br10 Cl2'
_symmetry_space_group_name_H-M 'I 4 m m'
_symmetry_Int_Tables_number 107
_symmetry_space_group_name_Hall 'I 4 -2'
_cell_length_a 7.955
_cell_length_b 7.955
_cell_length_c 10.954
_cell_angle_alpha 90.00
_cell_angle_beta 90.00
_cell_angle_gamma 90.00
loop_
_atom_site_label
_atom_site_type_symbol
_atom_site_fract_x
_atom_site_fract_y
_atom_site_fract_z
_atom_site_occupancy
Rb1 Rb 0.000 0.500 0.000 1
U1 U 0.000 0.000 0.249 1
Br1 Br 0.000 0.000 0.996 1
Br2 Br 0.248 0.248 0.247 1
Cl1 Cl 0.000 0.000 0.485 1
```


# 4
A relaxed structure of KBaFeN2. Source: Alexandria via LeMat-Bulk, functional GGA-PBE.

CIF file:
```
data_KBaFeN2
_chemical_formula_sum 'K1 Ba1 Fe1 N2'
_symmetry_space_group_name_H-M 'P 4/m m m'
_symmetry_Int_Tables_number 123
_symmetry_space_group_name_Hall '-P 4 2'
_cell_length_a 4.205
_cell_length_b 4.205
_cell_length_c 4.586
_cell_angle_alpha 90.00
_cell_angle_beta 90.00
_cell_angle_gamma 90.00
loop_
_atom_site_label
_atom_site_type_symbol
_atom_site_fract_x
_atom_site_fract_y
_atom_site_fract_z
_atom_site_occupancy
K1 K 0.000 0.000 0.000 1
Ba1 Ba 0.500 0.500 0.000 1
Fe1 Fe 0.000 0.000 0.500 1
N1 N 0.000 0.500 0.500 1
```


Magnetization for the records above, in order: 2.07; 3.00; 4.00; 3.17 μB/cell
Energy relative to the elements, uncorrected for the records above, in order: -3.299; -0.484; -1.607; 0.904 eV per atom
DOS at the Fermi energy for the records above, in order: 1.661; 0.369; 0.750; 0.493 states/eV per atom